Arrangement a

The following is a GGA-PBE calculation of KCd2Os after structural relaxation, from Alexandria.

CIF file:
```
data_KCd2Os
_cell_length_a 7.410
_cell_length_b 7.444
_cell_length_c 3.018
_cell_angle_alpha 90.00
_cell_angle_beta 90.00
_cell_angle_gamma 90.00
_space_group_name_H-M_alt 'P 1'
_space_group_IT_number 1
loop_
_space_group_symop_operation_xyz
'x,y,z'
loop_
_atom_site_label
_atom_site_type_symbol
_atom_site_fract_x
_atom_site_fract_y
_atom_site_fract_z
K1 K 0.000 0.000 0.000
K2 K 0.500 0.500 0.000
Cd1 Cd 0.250 0.250 0.500
Cd2 Cd 0.250 0.750 0.500
Cd3 Cd 0.750 0.250 0.500
Cd4 Cd 0.750 0.750 0.500
Os1 Os 0.000 0.500 0.000
Os2 Os 0.500 0.000 0.000
```

Computed properties:
- Symmetry: Cmmm (65)
- Spin magnetization: 0.70 μB/f.u.
- DOS at the Fermi energy: 0.411 states/eV/atom

Arrangement b

The following is a GGA-PBE calculation of KCd2Os after structural relaxation, from Alexandria.

CIF file:
```
data_KCd2Os
_cell_length_a 7.048
_cell_length_b 7.048
_cell_length_c 7.048
_cell_angle_alpha 90.00
_cell_angle_beta 90.00
_cell_angle_gamma 90.00
_space_group_name_H-M_alt 'P 1'
_space_group_IT_number 1
loop_
_space_group_symop_operation_xyz
'x,y,z'
loop_
_atom_site_label
_atom_site_type_symbol
_atom_site_fract_x
_atom_site_fract_y
_atom_site_fract_z
K1 K 0.000 0.000 0.000
K2 K 0.000 0.500 0.500
K3 K 0.500 0.000 0.500
K4 K 0.500 0.500 0.000
Cd1 Cd 0.000 0.000 0.500
Cd2 Cd 0.000 0.500 0.000
Cd3 Cd 0.250 0.250 0.750
Cd4 Cd 0.250 0.750 0.250
Cd5 Cd 0.500 0.000 0.000
Cd6 Cd 0.500 0.500 0.500
Cd7 Cd 0.750 0.250 0.250
Cd8 Cd 0.750 0.750 0.750
Os1 Os 0.250 0.250 0.250
Os2 Os 0.250 0.750 0.750
Os3 Os 0.750 0.250 0.750
Os4 Os 0.750 0.750 0.250
```

Computed properties:
- Symmetry: F-43m (216)
- Spin magnetization: 0.01 μB/f.u.
- DOS at the Fermi energy: 1.609 states/eV/atom

Arrangement c

The following is a GGA-PBE calculation of KCd2Os after structural relaxation, from Alexandria.

CIF file:
```
data_KCd2Os
_cell_length_a 3.116
_cell_length_b 4.925
_cell_length_c 10.923
_cell_angle_alpha 90.00
_cell_angle_beta 90.00
_cell_angle_gamma 90.00
_space_group_name_H-M_alt 'P 1'
_space_group_IT_number 1
loop_
_space_group_symop_operation_xyz
'x,y,z'
loop_
_atom_site_label
_atom_site_type_symbol
_atom_site_fract_x
_atom_site_fract_y
_atom_site_fract_z
K1 K 0.000 0.000 0.000
K2 K 0.500 0.500 0.000
Cd1 Cd 0.000 0.500 0.281
Cd2 Cd 0.000 0.500 0.719
Cd3 Cd 0.500 0.000 0.281
Cd4 Cd 0.500 0.000 0.719
Os1 Os 0.000 0.000 0.500
Os2 Os 0.500 0.500 0.500
```

Computed properties:
- Symmetry: Cmmm (65)
- Spin magnetization: 0.41 μB/f.u.
- DOS at the Fermi energy: 0.720 states/eV/atom

Arrangement d

The following is a GGA-PBE calculation of KCd2Os after structural relaxation, from Alexandria.

CIF file:
```
data_KCd2Os
_cell_length_a 3.072
_cell_length_b 4.915
_cell_length_c 11.034
_cell_angle_alpha 90.00
_cell_angle_beta 90.00
_cell_angle_gamma 90.00
_space_group_name_H-M_alt 'P 1'
_space_group_IT_number 1
loop_
_space_group_symop_operation_xyz
'x,y,z'
loop_
_atom_site_label
_atom_site_type_symbol
_atom_site_fract_x
_atom_site_fract_y
_atom_site_fract_z
K1 K 0.000 0.000 0.000
K2 K 0.500 0.500 0.000
Cd1 Cd 0.000 0.000 0.535
Cd2 Cd 0.000 0.500 0.286
Cd3 Cd 0.500 0.000 0.286
Cd4 Cd 0.500 0.500 0.535
Os1 Os 0.000 0.500 0.751
Os2 Os 0.500 0.000 0.751
```

Computed properties:
- Symmetry: Cmm2 (35)
- Spin magnetization: 0.00 μB/f.u.
- DOS at the Fermi energy: 0.664 states/eV/atom

Which structure is most stable? arrangement c, by 21 meV per atom over the runner-up.

Arrangement a

The following is a GGA-PBE calculation of KCd2Os after structural relaxation, from Alexandria.

CIF file:
```
data_KCd2Os
_cell_length_a 3.646
_cell_length_b 3.646
_cell_length_c 8.110
_cell_angle_alpha 90.00
_cell_angle_beta 90.00
_cell_angle_gamma 90.00
_space_group_name_H-M_alt 'P 1'
_space_group_IT_number 1
loop_
_space_group_symop_operation_xyz
'x,y,z'
loop_
_atom_site_label
_atom_site_type_symbol
_atom_site_fract_x
_atom_site_fract_y
_atom_site_fract_z
K1 K 0.000 0.000 0.000
Cd1 Cd 0.000 0.000 0.412
Cd2 Cd 0.500 0.500 0.659
Os1 Os 0.500 0.500 0.317
```

Computed properties:
- Symmetry: P4mm (99)
- Spin magnetization: 0.00 μB/f.u.
- DOS at the Fermi energy: 0.937 states/eV/atom

Arrangement b

The following is a GGA-PBE calculation of KCd2Os after structural relaxation, from Alexandria.

CIF file:
```
data_KCd2Os
_cell_length_a 9.512
_cell_length_b 2.795
_cell_length_c 7.081
_cell_angle_alpha 90.00
_cell_angle_beta 94.23
_cell_angle_gamma 90.00
_space_group_name_H-M_alt 'P 1'
_space_group_IT_number 1
loop_
_space_group_symop_operation_xyz
'x,y,z'
loop_
_atom_site_label
_atom_site_type_symbol
_atom_site_fract_x
_atom_site_fract_y
_atom_site_fract_z
K1 K 0.000 0.000 0.000
K2 K 0.500 0.500 0.000
Cd1 Cd 0.237 0.000 0.685
Cd2 Cd 0.263 0.500 0.315
Cd3 Cd 0.737 0.500 0.685
Cd4 Cd 0.763 0.000 0.315
Os1 Os 0.000 0.500 0.500
Os2 Os 0.500 0.000 0.500
```

Computed properties:
- Symmetry: C2/m (12)
- Spin magnetization: 0.00 μB/f.u.
- DOS at the Fermi energy: 0.533 states/eV/atom

Arrangement c

The following is a GGA-PBE calculation of KCd2Os after structural relaxation, from Alexandria.

CIF file:
```
data_KCd2Os
_cell_length_a 2.990
_cell_length_b 2.990
_cell_length_c 32.449
_cell_angle_alpha 90.00
_cell_angle_beta 90.00
_cell_angle_gamma 120.00
_space_group_name_H-M_alt 'P 1'
_space_group_IT_number 1
loop_
_space_group_symop_operation_xyz
'x,y,z'
loop_
_atom_site_label
_atom_site_type_symbol
_atom_site_fract_x
_atom_site_fract_y
_atom_site_fract_z
K1 K 0.000 0.000 0.000
K2 K 0.333 0.667 0.667
K3 K 0.667 0.333 0.333
Cd1 Cd 0.000 0.000 0.239
Cd2 Cd 0.000 0.000 0.761
Cd3 Cd 0.333 0.667 0.428
Cd4 Cd 0.333 0.667 0.905
Cd5 Cd 0.667 0.333 0.095
Cd6 Cd 0.667 0.333 0.572
Os1 Os 0.000 0.000 0.500
Os2 Os 0.333 0.667 0.167
Os3 Os 0.667 0.333 0.833
```

Computed properties:
- Symmetry: R-3m (166)
- Spin magnetization: 0.00 μB/f.u.
- DOS at the Fermi energy: 0.707 states/eV/atom

Which structure is most stable? arrangement b, by 13 meV per atom over the runner-up.

Arrangement a

The following is a GGA-PBE calculation of KCd2Os after structural relaxation, from Alexandria.

CIF file:
```
data_KCd2Os
_cell_length_a 16.733
_cell_length_b 2.825
_cell_length_c 4.798
_cell_angle_alpha 90.00
_cell_angle_beta 106.66
_cell_angle_gamma 90.00
_space_group_name_H-M_alt 'P 1'
_space_group_IT_number 1
loop_
_space_group_symop_operation_xyz
'x,y,z'
loop_
_atom_site_label
_atom_site_type_symbol
_atom_site_fract_x
_atom_site_fract_y
_atom_site_fract_z
K1 K 0.000 0.000 0.000
K2 K 0.500 0.500 0.000
Cd1 Cd 0.182 0.000 0.681
Cd2 Cd 0.342 0.000 0.343
Cd3 Cd 0.682 0.500 0.681
Cd4 Cd 0.842 0.500 0.343
Os1 Os 0.192 0.500 0.191
Os2 Os 0.692 0.000 0.191
```

Computed properties:
- Symmetry: Cm (8)
- Spin magnetization: 0.00 μB/f.u.
- DOS at the Fermi energy: 0.159 states/eV/atom

Arrangement b

The following is a GGA-PBE calculation of KCd2Os after structural relaxation, from Alexandria.

CIF file:
```
data_KCd2Os
_cell_length_a 5.581
_cell_length_b 5.581
_cell_length_c 17.969
_cell_angle_alpha 90.00
_cell_angle_beta 90.00
_cell_angle_gamma 90.00
_space_group_name_H-M_alt 'P 1'
_space_group_IT_number 1
loop_
_space_group_symop_operation_xyz
'x,y,z'
loop_
_atom_site_label
_atom_site_type_symbol
_atom_site_fract_x
_atom_site_fract_y
_atom_site_fract_z
K1 K 0.000 0.000 0.000
K2 K 0.000 0.500 0.250
K3 K 0.500 0.000 0.750
K4 K 0.500 0.500 0.500
Cd1 Cd 0.061 0.250 0.625
Cd2 Cd 0.250 0.561 0.875
Cd3 Cd 0.250 0.939 0.375
Cd4 Cd 0.439 0.250 0.125
Cd5 Cd 0.561 0.750 0.125
Cd6 Cd 0.750 0.061 0.375
Cd7 Cd 0.750 0.439 0.875
Cd8 Cd 0.939 0.750 0.625
Os1 Os 0.000 0.000 0.500
Os2 Os 0.000 0.500 0.750
Os3 Os 0.500 0.000 0.250
Os4 Os 0.500 0.500 0.000
```

Computed properties:
- Symmetry: I-42d (122)
- Spin magnetization: 0.97 μB/f.u.
- DOS at the Fermi energy: 0.429 states/eV/atom

Which structure is most stable? arrangement a, by 410 meV per atom over the runner-up.

Arrangement a

The following is a GGA-PBE calculation of KCd2Os after structural relaxation, from Alexandria.

CIF file:
```
data_KCd2Os
_cell_length_a 4.330
_cell_length_b 4.330
_cell_length_c 9.313
_cell_angle_alpha 90.00
_cell_angle_beta 90.00
_cell_angle_gamma 90.00
_space_group_name_H-M_alt 'P 1'
_space_group_IT_number 1
loop_
_space_group_symop_operation_xyz
'x,y,z'
loop_
_atom_site_label
_atom_site_type_symbol
_atom_site_fract_x
_atom_site_fract_y
_atom_site_fract_z
K1 K 0.000 0.000 0.000
K2 K 0.500 0.500 0.500
Cd1 Cd 0.000 0.000 0.500
Cd2 Cd 0.000 0.500 0.250
Cd3 Cd 0.500 0.000 0.750
Cd4 Cd 0.500 0.500 0.000
Os1 Os 0.000 0.500 0.750
Os2 Os 0.500 0.000 0.250
```

Computed properties:
- Symmetry: I-4m2 (119)
- Spin magnetization: 0.70 μB/f.u.
- DOS at the Fermi energy: 0.414 states/eV/atom

Arrangement b

The following is a GGA-PBE calculation of KCd2Os after structural relaxation, from Alexandria.

CIF file:
```
data_KCd2Os
_cell_length_a 2.847
_cell_length_b 4.747
_cell_length_c 7.941
_cell_angle_alpha 90.00
_cell_angle_beta 90.15
_cell_angle_gamma 90.00
_space_group_name_H-M_alt 'P 1'
_space_group_IT_number 1
loop_
_space_group_symop_operation_xyz
'x,y,z'
loop_
_atom_site_label
_atom_site_type_symbol
_atom_site_fract_x
_atom_site_fract_y
_atom_site_fract_z
K1 K 0.000 0.000 0.000
Cd1 Cd 0.492 0.500 0.337
Cd2 Cd 0.495 0.000 0.610
Os1 Os 0.995 0.500 0.641
```

Computed properties:
- Symmetry: Pm (6)
- Spin magnetization: 0.00 μB/f.u.
- DOS at the Fermi energy: 0.786 states/eV/atom

Which structure is most stable? arrangement b, by 396 meV per atom over the runner-up.

Arrangement a

The following is a GGA-PBE calculation of KCd2Os after structural relaxation, from Alexandria.

CIF file:
```
data_KCd2Os
_cell_length_a 2.836
_cell_length_b 4.265
_cell_length_c 7.726
_cell_angle_alpha 90.00
_cell_angle_beta 90.25
_cell_angle_gamma 90.00
_space_group_name_H-M_alt 'P 1'
_space_group_IT_number 1
loop_
_space_group_symop_operation_xyz
'x,y,z'
loop_
_atom_site_label
_atom_site_type_symbol
_atom_site_fract_x
_atom_site_fract_y
_atom_site_fract_z
K1 K 0.000 0.000 0.000
Cd1 Cd 0.499 0.500 0.317
Cd2 Cd 0.501 0.500 0.683
Os1 Os 0.000 0.000 0.500
```

Computed properties:
- Symmetry: P2/m (10)
- Spin magnetization: 0.00 μB/f.u.
- DOS at the Fermi energy: 0.708 states/eV/atom

Arrangement b

The following is a GGA-PBE calculation of KCd2Os after structural relaxation, from Alexandria.

CIF file:
```
data_KCd2Os
_cell_length_a 2.718
_cell_length_b 5.868
_cell_length_c 12.424
_cell_angle_alpha 90.00
_cell_angle_beta 90.00
_cell_angle_gamma 90.00
_space_group_name_H-M_alt 'P 1'
_space_group_IT_number 1
loop_
_space_group_symop_operation_xyz
'x,y,z'
loop_
_atom_site_label
_atom_site_type_symbol
_atom_site_fract_x
_atom_site_fract_y
_atom_site_fract_z
K1 K 0.000 0.000 0.000
K2 K 0.500 0.500 0.500
Cd1 Cd 0.000 0.500 0.200
Cd2 Cd 0.000 0.500 0.800
Cd3 Cd 0.500 0.000 0.300
Cd4 Cd 0.500 0.000 0.700
Os1 Os 0.000 0.000 0.500
Os2 Os 0.500 0.500 0.000
```

Computed properties:
- Symmetry: Immm (71)
- Spin magnetization: 0.00 μB/f.u.
- DOS at the Fermi energy: 0.886 states/eV/atom

Arrangement c

The following is a GGA-PBE calculation of KCd2Os after structural relaxation, from Alexandria.

CIF file:
```
data_KCd2Os
_cell_length_a 2.898
_cell_length_b 2.898
_cell_length_c 10.421
_cell_angle_alpha 90.00
_cell_angle_beta 90.00
_cell_angle_gamma 90.00
_space_group_name_H-M_alt 'P 1'
_space_group_IT_number 1
loop_
_space_group_symop_operation_xyz
'x,y,z'
loop_
_atom_site_label
_atom_site_type_symbol
_atom_site_fract_x
_atom_site_fract_y
_atom_site_fract_z
K1 K 0.000 0.000 0.000
Cd1 Cd 0.000 0.000 0.457
Cd2 Cd 0.500 0.500 0.705
Os1 Os 0.500 0.500 0.258
```

Computed properties:
- Symmetry: P4mm (99)
- Spin magnetization: 0.59 μB/f.u.
- DOS at the Fermi energy: 0.714 states/eV/atom

Which structure is most stable? arrangement a, by 143 meV per atom over the runner-up.